No. 1
A plane-wave DFT calculation with PBE was carried out for a geometry-optimized SrHoMg2Tl4 structure.

a b c (Å): 5.2779 5.2779 9.5647
angles (deg): 73.98 73.98 60.00
Positions (direct):
Sr 0.0000 0.0000 0.0000
Ho 0.5000 0.5000 0.5000
Mg 0.7533 0.7533 0.7400
Mg 0.2467 0.2467 0.2600
Tl 0.3814 0.3814 0.8559
Tl 0.8740 0.8740 0.3780
Tl 0.1260 0.1260 0.6220
Tl 0.6186 0.6186 0.1441

Summary:
ΔH_f (0 K) ... -240 meV per atom
E ... -2.605 eV/atom
Total magnetic moment ... 0.0 μB/f.u.

No. 2
A plane-wave DFT calculation with PBE was carried out for a geometry-optimized SrHoMgZn structure.

a b c (Å): 5.4201 5.4201 5.4201
angles (deg): 60.00 60.00 60.00
Positions (direct):
Mg 0.5000 0.5000 0.5000
Sr 0.2500 0.2500 0.2500
Zn 0.0000 0.0000 0.0000
Ho 0.7500 0.7500 0.7500

Summary:
ΔH_f (0 K) ... -51 meV per atom
E ... -2.333 eV/atom
Total magnetic moment ... 0.0 μB/f.u.

No. 3
A plane-wave DFT calculation with PBE was carried out for a geometry-optimized Tb2HoMg structure.

a b c (Å): 3.4977 3.4977 11.5189
angles (deg): 81.27 81.27 60.00
Positions (direct):
Tb 0.0842 0.0842 0.7474
Tb 0.2490 0.2490 0.2531
Ho 0.6668 0.6668 0.9995
Mg 0.5000 0.5000 0.5001

Summary:
Offset from the most stable computed form ... 0.067 eV/atom
ΔH_f (0 K) ... 40 meV per atom
E ... -3.818 eV/atom
Total magnetic moment ... 0.0 μB/f.u.

No. 4
A plane-wave DFT calculation with PBE was carried out for a geometry-optimized TbHo2Mg5 structure.

a b c (Å): 5.2441 5.2441 8.4123
angles (deg): 108.16 108.16 90.00
Positions (direct):
Tb 0.0000 0.0000 0.0000
Ho 0.7437 0.7437 0.4874
Ho 0.2563 0.2563 0.5126
Mg 0.5000 0.5000 0.0000
Mg 0.8795 0.3795 0.7590
Mg 0.3795 0.8795 0.7590
Mg 0.1205 0.6205 0.2410
Mg 0.6205 0.1205 0.2410

Summary:
ΔH_f (0 K) ... -70 meV per atom
E ... -2.790 eV/atom
Total magnetic moment ... 0.0 μB/f.u.

No. 5
A plane-wave DFT calculation with PBE was carried out for a geometry-optimized Tb4HoMg2 structure.

a b c (Å): 5.5291 5.5291 9.3610
angles (deg): 72.82 72.82 60.00
Positions (direct):
Tb 0.7449 0.7449 0.7654
Tb 0.8697 0.8697 0.3908
Tb 0.2551 0.2551 0.2346
Tb 0.1303 0.1303 0.6092
Ho 0.5000 0.5000 0.5000
Mg 0.6231 0.6231 0.1306
Mg 0.3769 0.3769 0.8694

Summary:
Offset from the most stable computed form ... 0.304 eV/atom
ΔH_f (0 K) ... 285 meV per atom
E ... -3.470 eV/atom
Total magnetic moment ... 0.0 μB/f.u.

No. 6
A plane-wave DFT calculation with PBE was carried out for a geometry-optimized Tb15Ho2Mg2 structure.

a b c (Å): 8.6048 8.6048 8.6048
angles (deg): 80.71 80.71 80.71
Positions (direct):
Tb 0.0000 0.5000 0.0000
Tb 0.0000 0.0000 0.5000
Tb 0.5000 0.0000 0.0000
Tb 0.2982 0.0000 0.7018
Tb 0.7018 0.2982 0.0000
Tb 0.0000 0.7018 0.2982
Tb 0.2982 0.7018 0.0000
Tb 0.0000 0.2982 0.7018
Tb 0.7018 0.0000 0.2982
Tb 0.3628 0.8497 0.3628
Tb 0.3628 0.3628 0.8497
Tb 0.8497 0.3628 0.3628
Tb 0.6372 0.1503 0.6372
Tb 0.6372 0.6372 0.1503
Tb 0.1503 0.6372 0.6372
Ho 0.6761 0.6761 0.6761
Ho 0.3239 0.3239 0.3239
Mg 0.9070 0.9070 0.9070
Mg 0.0930 0.0930 0.0930

Summary:
ΔH_f (0 K) ... 235 meV per atom
E ... -4.070 eV/atom
Total magnetic moment ... 0.0 μB/f.u.

No. 7
A plane-wave DFT calculation with PBE was carried out for a geometry-optimized Tb3Ho4Mg2 structure.

a b c (Å): 4.9090 7.8114 7.7822
angles (deg): 107.68 108.39 90.00
Positions (direct):
Tb 0.8883 0.3341 0.7766
Tb 0.1117 0.6659 0.2234
Tb 0.0000 0.0000 0.0000
Ho 0.5559 0.3341 0.1119
Ho 0.7786 0.6692 0.5572
Ho 0.4441 0.6659 0.8881
Ho 0.2214 0.3308 0.4428
Mg 0.3307 0.0006 0.6615
Mg 0.6693 0.9994 0.3385

Summary:
ΔH_f (0 K) ... 9 meV per atom
E ... -3.923 eV/atom
Total magnetic moment ... 0.0 μB/f.u.

No. 8
A plane-wave DFT calculation with PBE was carried out for a geometry-optimized Tb7Ho4Mg structure.

a b c (Å): 5.5681 5.5681 13.7421
angles (deg): 90.00 90.00 120.00
Positions (direct):
Tb 0.0000 0.0000 0.0000
Tb 0.6667 0.3333 0.6149
Tb 0.3333 0.6667 0.3851
Tb 0.6667 0.3333 0.8715
Tb 0.3333 0.6667 0.1285
Tb 0.0000 0.0000 0.2488
Tb 0.0000 0.0000 0.7512
Ho 0.6667 0.3333 0.1271
Ho 0.3333 0.6667 0.8729
Ho 0.6667 0.3333 0.3801
Ho 0.3333 0.6667 0.6199
Mg 0.0000 0.0000 0.5000

Summary:
Offset from the most stable computed form ... 0.000 eV/atom
ΔH_f (0 K) ... 78 meV per atom
E ... -4.282 eV/atom
Total magnetic moment ... 0.0 μB/f.u.

No. 9
A plane-wave DFT calculation with PBE was carried out for a geometry-optimized Tb3HoMg3 structure.

a b c (Å): 7.7320 7.7320 6.9336
angles (deg): 89.98 89.98 92.77
Positions (direct):
Tb 0.0000 0.0000 0.7542
Tb 0.4998 0.0002 0.2526
Tb 0.0002 0.4998 0.2526
Tb 0.5002 0.9998 0.7474
Tb 0.9998 0.5002 0.7474
Tb 0.0000 0.0000 0.2458
Ho 0.3109 0.3109 0.9994
Ho 0.6891 0.6891 0.0006
Mg 0.2725 0.2725 0.4998
Mg 0.3254 0.6746 0.5000
Mg 0.6746 0.3254 0.5000
Mg 0.2557 0.7443 0.0000
Mg 0.7443 0.2557 0.0000
Mg 0.7275 0.7275 0.5002

Summary:
ΔH_f (0 K) ... 82 meV per atom
E ... -3.240 eV/atom
Total magnetic moment ... 0.0 μB/f.u.

No. 10
A plane-wave DFT calculation with PBE was carried out for a geometry-optimized TbHo3Mg8 structure.

a b c (Å): 6.0586 6.0586 9.7399
angles (deg): 90.00 90.00 120.00
Positions (direct):
Tb 0.0000 0.0000 0.5646
Ho 0.6667 0.3333 0.4350
Ho 0.6667 0.3333 0.0638
Ho 0.0000 0.0000 0.9366
Mg 0.3333 0.6667 0.5001
Mg 0.3333 0.6667 0.0000
Mg 0.5043 0.0085 0.7503
Mg 0.5043 0.4957 0.7503
Mg 0.9915 0.4957 0.7503
Mg 0.1626 0.3252 0.2497
Mg 0.1626 0.8374 0.2497
Mg 0.6748 0.8374 0.2497

Summary:
ΔH_f (0 K) ... -66 meV per atom
E ... -2.659 eV/atom
Total magnetic moment ... 0.0 μB/f.u.